No. 1
A relaxed PuGaRh4 crystal. Source: Alexandria via LeMat-Bulk, functional PBE.

Summary:
energy relative to the elements	-0.326	eV/atom
calculated total energy	-8.120	eV/atom
calculated volume	101.2	Å³/cell

Cell lengths 5.231, 5.231, 5.231 Å; angles 60.00, 60.00, 60.00 degrees
Each line ends with the local moment (μB).
Positions (direct):
Rh  0.626  0.626  0.123  -0.30
Rh  0.626  0.123  0.626  -0.30
Rh  0.626  0.626  0.626  -0.30
Rh  0.123  0.626  0.626  -0.30
Ga  0.000  0.000  0.000  0.00
Pu  0.250  0.250  0.250  4.80

No. 2
A relaxed Ca2TcSe crystal. Source: Alexandria via LeMat-Bulk, functional PBE.

Summary:
formation energy (no corrections)	-0.28	eV per atom
calculated total energy	-4.741	eV/atom
calculated volume	94.0	Å³/cell

Cell lengths 3.579, 3.573, 8.173 Å; angles 64.08, 90.00, 90.00 degrees
Each line ends with the local moment (μB).
Positions (direct):
Ca  0.000  0.985  0.015  -0.01
Ca  0.000  0.515  0.485  -0.01
Tc  0.500  0.750  0.750  2.15
Se  0.500  0.250  0.250  0.05

No. 3
A relaxed Sr3AlAu crystal. Source: Alexandria via LeMat-Bulk, functional PBE.

Summary:
energy relative to the elements	-0.095	eV/atom
polymorph energy (0 for the lowest one)	0	meV/atom
calculated total energy	-2.508	eV/atom
calculated volume	212.4	Å³/cell

Cell lengths 5.967, 5.967, 5.967 Å; angles 90.00, 90.00, 90.00 degrees
Positions (direct):
Sr  0.000  0.500  0.000
Sr  0.000  0.000  0.500
Sr  0.500  0.000  0.000
Au  0.000  0.000  0.000
Al  0.500  0.500  0.500

No. 4
A relaxed Cu2Sn5Cl12 crystal. Source: Alexandria via LeMat-Bulk, functional PBE.

Summary:
formation energy (no corrections)	-0.84	eV per atom
calculated total energy	-3.492	eV/atom
calculated volume	555.0	Å³/cell

Cell lengths 7.978, 8.767, 9.457 Å; angles 107.36, 90.00, 117.07 degrees
Positions (direct):
Cu  0.837  0.000  0.000
Cu  0.163  0.000  0.000
Sn  0.316  0.632  0.713
Sn  0.333  0.666  0.192
Sn  0.000  0.000  0.500
Sn  0.667  0.334  0.808
Sn  0.684  0.368  0.287
Cl  0.021  0.043  0.218
Cl  0.137  0.712  0.942
Cl  0.576  0.712  0.942
Cl  0.082  0.692  0.392
Cl  0.609  0.692  0.392
Cl  0.493  0.987  0.714
Cl  0.507  0.013  0.286
Cl  0.918  0.308  0.608
Cl  0.391  0.308  0.608
Cl  0.863  0.288  0.058
Cl  0.424  0.288  0.058
Cl  0.979  0.957  0.782

No. 5
A relaxed SrIr2 crystal. Source: Alexandria via LeMat-Bulk, functional PBE.

Summary:
energy relative to the elements	0.027	eV/atom
calculated total energy	-6.441	eV/atom
calculated volume	63.0	Å³/cell

Cell lengths 5.908, 5.908, 5.908 Å; angles 151.61, 139.78, 49.97 degrees
Positions (direct):
Ir  0.284  0.284  0.000
Ir  0.716  0.716  0.000
Sr  0.000  0.000  0.000

No. 6
A relaxed NaLi2AsH crystal. Source: Alexandria via LeMat-Bulk, functional PBE.

Summary:
calculated total energy	-2.956	eV/atom
calculated volume	74.8	Å³/cell

Cell lengths 4.101, 4.101, 4.446 Å; angles 90.00, 90.00, 90.00 degrees
Positions (direct):
Na  0.000  0.000  0.500
As  0.500  0.500  0.500
H  0.000  0.000  0.000
Li  0.000  0.500  0.000
Li  0.500  0.000  0.000

No. 7
A relaxed Al4FeNi3 crystal. Source: Alexandria via LeMat-Bulk, functional PBE.

Summary:
energy relative to the elements	-0.579	eV/atom
calculated total energy	-5.677	eV/atom
calculated volume	96.0	Å³/cell

Cell lengths 2.886, 2.886, 11.530 Å; angles 90.00, 90.00, 90.00 degrees
Each line ends with the local moment (μB).
Positions (direct):
Ni  0.500  0.500  0.249  0.00
Ni  0.500  0.500  0.500  0.00
Ni  0.500  0.500  0.751  0.00
Al  0.000  0.000  0.880  0.00
Al  0.000  0.000  0.120  0.00
Al  0.000  0.000  0.375  0.00
Al  0.000  0.000  0.625  0.00
Fe  0.500  0.500  0.000  0.06

No. 8
A relaxed Pu3Tl crystal. Source: Alexandria via LeMat-Bulk, functional PBE.

Summary:
energy relative to the elements	0.131	eV/atom
calculated total energy	-11.209	eV/atom
calculated volume	108.2	Å³/cell

Cell lengths 5.349, 5.349, 5.349 Å; angles 60.00, 60.00, 60.00 degrees
Each line ends with the local moment (μB).
Positions (direct):
Tl  0.500  0.500  0.500  -0.06
Pu  0.000  0.000  0.000  6.02
Pu  0.750  0.750  0.750  5.74
Pu  0.250  0.250  0.250  5.74